VASP calculation (PBE) on crystalline SnPd3 at its relaxed geometry. Values from VASP.

Values from the calculation:
Space group: R-3m (166)
DFT formation energy, eV per atom: -0.288
V, Å³ per cell: 68
M_tot, Bohr magnetons per cell: 0.0

```
&SYSTEM
  ibrav = 0, nat = 4, ntyp = 2
/
ATOMIC_SPECIES
Sn 118.71 Sn.upf
Pd 106.42 Pd.upf
CELL_PARAMETERS angstrom
-0.057 2.754 -1.130
3.227 -2.381 -3.352
-5.052 -1.302 -0.305
ATOMIC_POSITIONS crystal
Sn 0.000 0.500 0.500
Pd 0.000 0.000 0.000
Pd 0.500 0.000 0.500
Pd 0.500 0.500 0.000
```